1.
Material: Sm3DyHo
Method: DFT, PBE
State: relaxed

Output
Polymorph energy (0 for the lowest one) (eV per formula unit): 0.000

a b c (Å): 6.305 5.750 9.642
angles (deg): 90.00 109.03 90.00
Space group P2_1/m (No. 11)
Symmetry-distinct sites (fractional):
Sm 0.032 0.250 0.400 [2 per cell]
Sm 0.166 0.750 0.000 [2 per cell]
Sm 0.433 0.250 0.201 [2 per cell]
Dy 0.366 0.750 0.400 [2 per cell]
Ho 0.235 0.250 0.799 [2 per cell]

---

2.
Material: CsNaCd2Ir
Method: DFT, PBE
State: relaxed

Output
Calculated total energy (eV per cell): -12.18

a b c (Å): 5.345 5.345 5.619
angles (deg): 90.00 90.00 90.00
Space group P4/mmm (No. 123)
Symmetry-distinct sites (fractional):
Cs 0.000 0.000 0.000 [1 per cell]
Na 0.500 0.500 0.000 [1 per cell]
Cd 0.000 0.500 0.500 [2 per cell]
Ir 0.500 0.500 0.500 [1 per cell]

---

3.
Material: AcLaSmBi
Method: DFT, PBE
State: relaxed

Output
Calculated total energy (eV per cell): -74.25

a b c (Å): 8.164 8.164 8.164
angles (deg): 90.00 90.00 90.00
Space group F-43m (No. 216)
Symmetry-distinct sites (fractional):
Ac 0.000 0.000 0.000 [4 per cell]
La 0.250 0.250 0.750 [4 per cell]
Sm 0.250 0.250 0.250 [4 per cell]
Bi 0.000 0.000 0.500 [4 per cell]

---

4.
Material: Co2SeBr
Method: DFT, PBE
State: relaxed

Output
Raw formation energy (eV/atom): 0.081
Polymorph energy (0 for the lowest one) (eV per formula unit): 0.571

a b c (Å): 3.494 3.671 11.819
angles (deg): 90.00 90.00 90.00
Space group Imm2 (No. 44)
Symmetry-distinct sites (fractional):
Co 0.000 0.000 0.000 [2 per cell]
Co 0.000 0.500 0.136 [2 per cell]
Se 0.000 0.500 0.637 [2 per cell]
Br 0.000 0.500 0.359 [2 per cell]

---

5.
Material: LiBePd5
Method: DFT, PBE
State: relaxed

Output
Calculated total energy (eV per cell): -129.69

a b c (Å): 8.756 6.017 8.875
angles (deg): 90.00 111.43 90.00
Space group C2/c (No. 15)
Symmetry-distinct sites (fractional):
Li 0.000 0.071 0.250 [4 per cell]
Be 0.250 0.250 0.000 [4 per cell]
Pd 0.000 0.339 0.750 [4 per cell]
Pd 0.112 0.355 0.490 [8 per cell]
Pd 0.224 0.360 0.236 [8 per cell]

---

6.
Material: Ce2In12Pd7
Method: DFT, PBE
State: relaxed

Output
Calculated total energy (eV per cell): -90.65

a b c (Å): 11.1901 11.1901 4.2446
angles (deg): 90.00 90.00 120.00
Space group P-6 (No. 174)
Symmetry-distinct sites (fractional):
Ce 0.0000 0.0000 0.0000 [1 per cell]
Ce 0.3333 0.6667 0.5000 [1 per cell]
In 0.0440 0.2811 0.5000 [3 per cell]
In 0.1188 0.7247 0.0000 [3 per cell]
In 0.3829 0.1793 0.0000 [3 per cell]
In 0.5340 0.4236 0.5000 [3 per cell]
Pd 0.0641 0.4592 0.0000 [3 per cell]
Pd 0.2424 0.2102 0.5000 [3 per cell]
Pd 0.6667 0.3333 0.0000 [1 per cell]

---

7.
Material: Zr2AlP
Method: DFT, PBE
State: relaxed

Output
Polymorph energy (0 for the lowest one) (eV per formula unit): 1.345

a b c (Å): 4.299 4.299 7.902
angles (deg): 90.00 90.00 90.00
Space group I4/mmm (No. 139)
Symmetry-distinct sites (fractional):
Zr 0.000 0.500 0.250 [4 per cell]
Al 0.000 0.000 0.000 [2 per cell]
P 0.000 0.000 0.500 [2 per cell]

---

8.
Material: Mn2SiI
Method: DFT, PBE
State: relaxed

Output
Raw formation energy (eV/atom): 0.197
Polymorph energy (0 for the lowest one) (eV per formula unit): 0.285

a b c (Å): 7.231 4.135 6.230
angles (deg): 90.00 106.66 90.00
Space group Cm (No. 8)
Symmetry-distinct sites (fractional):
Mn 0.000 0.000 0.000 [2 per cell]
Mn 0.202 0.500 0.147 [2 per cell]
Si 0.337 0.000 0.018 [2 per cell]
I 0.461 0.500 0.560 [2 per cell]

---

9.
Material: Hf2MnI
Method: DFT, PBE
State: relaxed

Output
Raw formation energy (eV/atom): 0.483
Polymorph energy (0 for the lowest one) (eV per formula unit): 0.000

a b c (Å): 6.871 6.871 6.871
angles (deg): 90.00 90.00 90.00
Space group Fm-3m (No. 225)
Symmetry-distinct sites (fractional):
Hf 0.250 0.250 0.250 [8 per cell]
Mn 0.000 0.000 0.000 [4 per cell]
I 0.000 0.000 0.500 [4 per cell]

---

10.
Material: ZnGa6Hg2
Method: DFT, PBE
State: relaxed

Output
Calculated total energy (eV per cell): -39.00

a b c (Å): 13.744 9.202 2.950
angles (deg): 90.00 96.10 90.00
Space group C2/m (No. 12)
Symmetry-distinct sites (fractional):
Zn 0.000 0.000 0.000 [2 per cell]
Ga 0.000 0.251 0.500 [4 per cell]
Ga 0.183 0.155 0.211 [8 per cell]
Hg 0.128 0.500 0.500 [4 per cell]

---

11.
Material: Dy3Zn4Cu2
Method: DFT, PBE
State: relaxed

Output
Polymorph energy (0 for the lowest one) (eV per formula unit): 0.244

a b c (Å): 9.651 4.491 8.494
angles (deg): 90.00 105.80 90.00
Space group C2/m (No. 12)
Symmetry-distinct sites (fractional):
Dy 0.000 0.000 0.000 [2 per cell]
Dy 0.130 0.500 0.695 [4 per cell]
Zn 0.094 0.000 0.416 [4 per cell]
Zn 0.215 0.500 0.069 [4 per cell]
Cu 0.171 0.500 0.339 [4 per cell]

---

12.
Material: La3Sc7Pt4
Method: DFT, PBE
State: relaxed

Output
Calculated total energy (eV per cell): -188.09

a b c (Å): 16.967 4.661 10.393
angles (deg): 90.00 126.43 90.00
Space group C2/m (No. 12)
Symmetry-distinct sites (fractional):
La 0.000 0.000 0.000 [2 per cell]
La 0.188 0.500 0.687 [4 per cell]
Sc 0.000 0.000 0.500 [2 per cell]
Sc 0.008 0.500 0.292 [4 per cell]
Sc 0.165 0.000 0.424 [4 per cell]
Sc 0.196 0.500 0.036 [4 per cell]
Pt 0.108 0.000 0.845 [4 per cell]
Pt 0.164 0.500 0.277 [4 per cell]

---

13.
Material: YTeOs2
Method: DFT, PBE
State: relaxed

Output
Raw formation energy (eV/atom): 0.139

a b c (Å): 3.780 3.002 14.682
angles (deg): 90.00 90.00 90.00
Space group Amm2 (No. 38)
Symmetry-distinct sites (fractional):
Y 0.000 0.000 0.000 [2 per cell]
Te 0.500 0.000 0.349 [2 per cell]
Os 0.000 0.000 0.199 [2 per cell]
Os 0.500 0.000 0.632 [2 per cell]

---

14.
Material: Sm4Dy15Ho
Method: DFT, PBE
State: relaxed

Output
Calculated total energy (eV per cell): -92.12

a b c (Å): 5.034 5.034 25.145
angles (deg): 90.00 90.00 90.00
Space group P4/mmm (No. 123)
Symmetry-distinct sites (fractional):
Sm 0.000 0.000 0.100 [2 per cell]
Sm 0.000 0.000 0.301 [2 per cell]
Dy 0.000 0.500 0.000 [2 per cell]
Dy 0.000 0.500 0.201 [4 per cell]
Dy 0.000 0.500 0.401 [4 per cell]
Dy 0.500 0.500 0.100 [2 per cell]
Dy 0.500 0.500 0.301 [2 per cell]
Dy 0.500 0.500 0.500 [1 per cell]
Ho 0.000 0.000 0.500 [1 per cell]

---

15.
Material: SrTl4Br
Method: DFT, PBE
State: relaxed

Output
Raw formation energy (eV/atom): -0.254

a b c (Å): 9.255 9.255 9.255
angles (deg): 90.00 90.00 90.00
Space group F-43m (No. 216)
Symmetry-distinct sites (fractional):
Sr 0.000 0.000 0.000 [4 per cell]
Tl 0.125 0.125 0.625 [16 per cell]
Br 0.250 0.250 0.250 [4 per cell]

---

16.
Material: Co5Br
Method: DFT, PBE
State: relaxed

Output
Raw formation energy (eV/atom): 0.476
Polymorph energy (0 for the lowest one) (eV per formula unit): 0.000

a b c (Å): 9.316 2.828 6.017
angles (deg): 90.00 106.83 90.00
Space group Cm (No. 8)
Symmetry-distinct sites (fractional):
Co 0.000 0.000 0.000 [2 per cell]
Co 0.052 0.000 0.640 [2 per cell]
Co 0.138 0.500 0.365 [2 per cell]
Co 0.206 0.500 0.937 [2 per cell]
Co 0.326 0.000 0.693 [2 per cell]
Br 0.362 0.000 0.287 [2 per cell]

---

17.
Material: Cs2InHCl6
Method: DFT, PBE
State: relaxed

Output
Polymorph energy (0 for the lowest one) (eV per formula unit): 0.000

a b c (Å): 8.020 8.020 10.085
angles (deg): 90.00 90.00 90.00
Space group I4mm (No. 107)
Symmetry-distinct sites (fractional):
Cs 0.000 0.500 0.000 [4 per cell]
In 0.000 0.000 0.292 [2 per cell]
H 0.000 0.000 0.792 [2 per cell]
Cl 0.000 0.000 0.533 [2 per cell]
Cl 0.000 0.000 0.921 [2 per cell]
Cl 0.216 0.216 0.240 [8 per cell]

---

18.
Material: Ca2ZnTe
Method: DFT, PBE
State: relaxed

Output
Raw formation energy (eV/atom): -0.582
Polymorph energy (0 for the lowest one) (eV per formula unit): 0.795

a b c (Å): 8.218 8.218 7.569
angles (deg): 90.00 90.00 90.00
Space group I-42d (No. 122)
Symmetry-distinct sites (fractional):
Ca 0.244 0.750 0.125 [8 per cell]
Zn 0.000 0.000 0.000 [4 per cell]
Te 0.000 0.000 0.500 [4 per cell]

---

19.
Material: CdHI2O
Method: DFT, PBE
State: relaxed

Output
Polymorph energy (0 for the lowest one) (eV per formula unit): 1.305

a b c (Å): 6.225 6.225 4.095
angles (deg): 90.00 90.00 90.00
Space group P4/mmm (No. 123)
Symmetry-distinct sites (fractional):
Cd 0.000 0.000 0.000 [1 per cell]
H 0.500 0.500 0.500 [1 per cell]
I 0.000 0.500 0.000 [2 per cell]
O 0.000 0.000 0.500 [1 per cell]

---

20.
Material: La12Tb7Er
Method: DFT, PBE
State: relaxed

Output
Polymorph energy (0 for the lowest one) (eV per formula unit): 0.164

a b c (Å): 12.5274 12.5274 15.4659
angles (deg): 90.00 90.00 120.00
Space group R-3 (No. 148, hexagonal axes)
Symmetry-distinct sites (fractional):
La 0.0143 0.5757 0.2207 [18 per cell]
La 0.0668 0.4707 0.5776 [18 per cell]
Tb 0.0000 0.0000 0.0000 [3 per cell]
Tb 0.0522 0.8682 0.3080 [18 per cell]
Er 0.0000 0.0000 0.5000 [3 per cell]

---

21.
Material: LiCr2Pb
Method: DFT, PBE
State: relaxed

Output
Calculated total energy (eV per cell): -43.85

a b c (Å): 5.162 9.704 2.987
angles (deg): 90.00 124.02 90.00
Space group C2/m (No. 12)
Symmetry-distinct sites (fractional):
Li 0.000 0.000 0.000 [2 per cell]
Cr 0.250 0.250 0.500 [4 per cell]
Pb 0.000 0.500 0.000 [2 per cell]

---

22.
Material: Tb8Zn2Os
Method: DFT, PBE
State: relaxed

Output
Polymorph energy (0 for the lowest one) (eV per formula unit): 1.336

a b c (Å): 4.966 8.287 14.000
angles (deg): 90.00 90.00 90.00
Space group Immm (No. 71)
Symmetry-distinct sites (fractional):
Tb 0.000 0.000 0.122 [4 per cell]
Tb 0.000 0.228 0.347 [8 per cell]
Tb 0.000 0.331 0.000 [4 per cell]
Zn 0.000 0.500 0.195 [4 per cell]
Os 0.000 0.500 0.500 [2 per cell]

---

23.
Material: ThMg2ZnPd4
Method: DFT, PBE
State: relaxed

Output
Calculated total energy (eV per cell): -113.89

a b c (Å): 4.4779 4.4779 25.1571
angles (deg): 90.00 90.00 120.00
Space group R-3m (No. 166, hexagonal axes)
Symmetry-distinct sites (fractional):
Th 0.0000 0.0000 0.0000 [3 per cell]
Mg 0.0000 0.0000 0.2358 [6 per cell]
Zn 0.0000 0.0000 0.5000 [3 per cell]
Pd 0.0000 0.0000 0.1280 [6 per cell]
Pd 0.0000 0.0000 0.3969 [6 per cell]

---

Calculated spin magnetization (μB/f.u.), listed in the same order as above: 0.00, 0.00, 0.00, 3.08, 0.00, 1.81, 0.00, 1.04, 2.56, 0.00, 0.00, 0.00, 0.00, 0.00, 0.00, 8.48, 0.00, 0.00, 3.00, 0.00, 1.47, 0.00, 0.00
Calculated DOS(E_F) (states/eV/atom), listed in the same order as above: 1.90, 0.42, 0.85, 1.42, 0.74, 1.08, 0.46, 0.38, 1.67, 0.21, 0.60, 1.24, 0.78, 1.32, 0.70, 1.14, 0.00, 0.05, 1.54, 1.83, 0.82, 0.86, 0.58